# 1
Below is an optimized crystal structure of Li2BAu, with properties calculated at the PBE level.

```
8
Lattice="-3.763 3.763 2.100 3.763 -3.763 2.100 3.763 3.763 -2.100" Properties=species:S:1:pos:R:3 pbc="T T T"
Li 1.882 1.171 -0.525
Li 2.593 -1.882 2.625
Li 1.882 2.593 1.575
Li 1.171 5.645 0.525
B 0.000 0.000 0.000
B 0.000 3.763 1.050
Au 3.763 0.000 1.050
Au 0.000 0.000 2.100
```

VASP energy   -3.292 eV/atom
Magnetization   0.0 μB/cell



# 2
Below is an optimized crystal structure of Li2BAu2, with properties calculated at the PBE level.

```
10
Lattice="5.945 0.000 0.000 0.000 5.945 0.000 0.000 0.000 4.396" Properties=species:S:1:pos:R:3 pbc="T T T"
Li 0.941 2.032 0.000
Li 2.032 5.004 0.000
Li 3.914 0.941 0.000
Li 5.004 3.914 0.000
B 0.000 0.000 2.198
B 2.973 2.973 2.198
Au 1.034 4.007 2.198
Au 1.939 1.034 2.198
Au 4.007 4.911 2.198
Au 4.911 1.939 2.198
```

VASP energy   -3.452 eV/atom
Magnetization   0.0 μB/cell



# 3
Below is an optimized crystal structure of LiBAu3, with properties calculated at the PBE level.

```
5
Lattice="4.386 0.000 0.000 0.000 4.386 0.000 0.000 0.000 4.386" Properties=species:S:1:pos:R:3 pbc="T T T"
Li 0.000 0.000 0.000
B 2.193 2.193 2.193
Au 0.000 2.193 2.193
Au 2.193 0.000 2.193
Au 2.193 2.193 0.000
```

Offset from the most stable computed form   0.00 eV/f.u.
VASP energy   -3.725 eV/atom
Magnetization   0.0 μB/cell



# 4
Below is an optimized crystal structure of LiB3Au, with properties calculated at the PBE level.

```
5
Lattice="3.826 0.000 0.000 0.000 3.826 0.000 0.000 0.000 3.826" Properties=species:S:1:pos:R:3 pbc="T T T"
Li 0.000 0.000 0.000
B 0.000 0.000 1.913
B 0.000 1.913 0.000
B 1.913 0.000 0.000
Au 1.913 1.913 1.913
```

Offset from the most stable computed form   1.65 eV/f.u.
VASP energy   -3.071 eV/atom
Magnetization   0.0 μB/cell



# 5
Below is an optimized crystal structure of LiB2Au, with properties calculated at the PBE level.

```
8
Lattice="-1.753 1.753 8.127 1.753 -1.753 8.127 1.753 1.753 -8.127" Properties=species:S:1:pos:R:3 pbc="T T T"
Li 1.753 0.876 2.032
Li 0.000 0.876 6.095
B 0.000 0.000 0.000
B 0.876 0.876 -4.064
B 0.876 -0.876 4.064
B 0.000 1.753 0.000
Au 1.753 -0.876 6.095
Au 0.000 2.629 2.032
```

Offset from the most stable computed form   0.00 eV/f.u.
VASP energy   -4.336 eV/atom
Magnetization   0.0 μB/cell



# 6
Below is an optimized crystal structure of LiBAu2, with properties calculated at the PBE level.

```
8
Lattice="-3.565 3.565 2.556 3.565 -3.565 2.556 3.565 3.565 -2.556" Properties=species:S:1:pos:R:3 pbc="T T T"
Li 0.000 0.000 0.000
Li 0.000 3.565 1.278
B 3.565 0.000 1.278
B 0.000 0.000 2.556
Au 1.783 2.589 -0.639
Au 4.541 1.783 0.639
Au 1.783 0.976 1.917
Au -0.976 1.783 3.195
```

VASP energy   -3.679 eV/atom
Magnetization   0.0 μB/cell



# 7
Below is an optimized crystal structure of Li5BAuN2, with properties calculated at the PBE level.

```
9
Lattice="3.979 0.000 0.000 0.000 3.979 0.000 0.000 0.000 7.478" Properties=species:S:1:pos:R:3 pbc="T T T"
Li 0.000 0.000 0.000
Li 0.000 1.989 1.927
Li 0.000 1.989 5.552
Li 1.989 0.000 1.927
Li 1.989 0.000 5.552
B 0.000 0.000 3.739
Au 1.989 1.989 0.000
N 0.000 0.000 2.387
N 0.000 0.000 5.092
```

VASP energy   -4.664 eV/atom
Magnetization   0.0 μB/cell



# 8
Below is an optimized crystal structure of LiBAu2O, with properties calculated at the PBE level.

```
5
Lattice="4.583 0.000 0.000 0.000 4.583 0.000 0.000 0.000 3.270" Properties=species:S:1:pos:R:3 pbc="T T T"
Li 0.000 0.000 0.000
B 2.292 2.292 1.635
Au 0.000 2.292 0.000
Au 2.292 0.000 0.000
O 0.000 0.000 1.635
```

VASP energy   -3.229 eV/atom
Magnetization   0.0 μB/cell